(1)
Material: Y2SiPt2
Method: DFT, PBE
State: optimized geometry

VASP energy = -34.4 eV for the cell shown
calculated density = 8.65 g/cm3

Cell and atoms, written as extended XYZ:
```
5
Lattice="-2.778 2.778 3.708 2.778 -2.778 3.708 2.778 2.778 -3.708" Properties=species:S:1:pos:R:3 pbc="T T T"
Pt 0.000 0.000 2.432
Pt 0.000 0.000 4.984
Si 0.000 0.000 0.000
Y 0.000 2.778 1.854
Y 2.778 0.000 1.854
```

(2)
Material: YSi3Pt4
Method: DFT, PBE
State: optimized geometry

VASP energy = -52.4 eV for the cell shown
calculated density = 11.50 g/cm3

Cell and atoms, written as extended XYZ:
```
8
Lattice="5.654 0.000 0.000 0.000 3.726 0.000 -0.725 0.000 6.537" Properties=species:S:1:pos:R:3 pbc="T T T"
Pt 3.479 0.000 3.008
Pt 1.605 1.863 3.952
Pt 3.832 0.000 6.022
Pt 0.302 1.863 6.462
Si 3.104 1.863 1.344
Si 4.638 1.863 4.317
Si 1.540 0.000 5.547
Y 0.492 0.000 2.036
```

(3)
Material: Y2SiPt2
Method: DFT, PBE
State: optimized geometry

VASP energy = -33.1 eV for the cell shown
calculated density = 9.35 g/cm3

Cell and atoms, written as extended XYZ:
```
5
Lattice="-1.961 1.961 6.881 1.961 -1.961 6.881 1.961 1.961 -6.881" Properties=species:S:1:pos:R:3 pbc="T T T"
Pt 0.000 1.961 3.441
Pt 1.961 0.000 3.441
Si 0.000 0.000 0.000
Y 0.000 0.000 5.430
Y 0.000 0.000 8.333
```

(4)
Material: YSi2Pt
Method: DFT, PBE
State: optimized geometry

VASP energy = -24.6 eV for the cell shown
calculated density = 7.73 g/cm3

Cell and atoms, written as extended XYZ:
```
4
Lattice="0.000 3.318 3.318 3.318 0.000 3.318 3.318 3.318 0.000" Properties=species:S:1:pos:R:3 pbc="T T T"
Pt 4.977 4.977 4.977
Si 0.000 0.000 0.000
Si 1.659 1.659 1.659
Y 3.318 3.318 3.318
```

(5)
Material: ZnSi2Pt
Method: DFT, PBE
State: optimized geometry

VASP energy = -17.8 eV for the cell shown
calculated density = 8.78 g/cm3

Cell and atoms, written as extended XYZ:
```
4
Lattice="3.895 -1.993 0.384 0.439 -3.470 2.657 0.593 -4.006 -1.699" Properties=species:S:1:pos:R:3 pbc="T T T"
Pt 2.463 -4.735 0.671
Si 0.000 0.000 0.000
Si 3.695 -7.102 1.006
Zn 1.232 -2.367 0.335
```

(6)
Material: Zn2SiPt
Method: DFT, PBE
State: optimized geometry

VASP energy = -14.3 eV for the cell shown
calculated density = 10.05 g/cm3

Cell and atoms, written as extended XYZ:
```
4
Lattice="0.000 3.081 3.081 3.081 0.000 3.081 3.081 3.081 0.000" Properties=species:S:1:pos:R:3 pbc="T T T"
Pt 1.540 1.540 1.540
Si 3.081 3.081 3.081
Zn 0.000 0.000 0.000
Zn 4.622 4.622 4.622
```

(7)
Material: ZrSi4Pt3
Method: DFT, PBE
State: optimized geometry

VASP energy = -52.7 eV for the cell shown
calculated density = 10.14 g/cm3

Cell and atoms, written as extended XYZ:
```
8
Lattice="4.836 0.000 0.000 0.000 3.780 0.000 -0.391 0.000 7.064" Properties=species:S:1:pos:R:3 pbc="T T T"
Pt 2.835 1.890 0.937
Pt 1.322 0.000 2.429
Pt 3.626 1.890 4.767
Si 0.441 1.890 0.633
Si 3.752 0.000 3.115
Si 1.213 1.890 3.830
Si 3.507 0.000 6.796
Zr 1.083 0.000 5.749
```

(8)
Material: Sm5Pt2
Method: DFT, PBE
State: optimized geometry

VASP energy = -81.7 eV for the cell shown
calculated density = 9.43 g/cm3
calculated formation energy = -0.738 eV per atom

Cell and atoms, written as extended XYZ:
```
14
Lattice="8.427 -3.346 0.000 8.427 3.346 0.000 -0.842 0.000 7.134" Properties=species:S:1:pos:R:3 pbc="T T T"
Pt 10.249 1.358 0.518
Pt 6.184 1.358 3.049
Pt 9.829 -1.358 4.085
Pt 5.763 -1.358 6.616
Sm 6.783 2.609 0.518
Sm 4.565 -0.454 1.339
Sm 8.216 -0.441 1.784
Sm 11.868 -0.454 2.228
Sm 9.650 2.609 3.049
Sm 6.362 -2.609 4.085
Sm 4.144 0.454 4.906
Sm 7.796 0.441 5.351
Sm 11.447 0.454 5.795
Sm 9.229 -2.609 6.616
```